[1]
Here is a geometry-optimized Nd2IBr4Cl structure from the Open Quantum Materials Database. Energies are from PBE.

Output
The calculation puts the magnetic moment at 0.00 μB per formula unit. The calculation puts the raw total energy at -4.0490 eV/atom. As for the space-group type: Amm2.

a b c (Å): 8.546 11.446 11.446
angles (deg): 30.88 90.00 90.00
Sites, in units of the cell vectors:
Nd1 0.000 0.000 0.000
Nd2 0.000 0.329 0.329
I1 0.000 0.473 0.473
Br1 0.260 0.068 0.068
Br2 0.261 0.263 0.263
Br3 0.739 0.263 0.263
Br4 0.740 0.068 0.068
Cl1 0.000 0.868 0.868

=====

[2]
Here is a geometry-optimized TaIBrClO structure from the Open Quantum Materials Database. Energies are from PBE.

Output
The calculation puts the magnetic moment at 0.00 μB per formula unit. The calculation puts the raw total energy at -5.8295 eV/atom. As for the space-group type: C2/m.

a b c (Å): 7.605 7.605 12.095
angles (deg): 119.58 119.58 29.42
Sites, in units of the cell vectors:
Ta1 0.118 0.118 0.193
Ta2 0.882 0.882 0.807
I1 0.327 0.327 0.294
I2 0.673 0.673 0.706
Br1 0.096 0.096 0.954
Br2 0.904 0.904 0.046
Cl1 0.105 0.105 0.374
Cl2 0.895 0.895 0.626
O1 0.390 0.390 0.824
O2 0.610 0.610 0.176

=====

[3]
Here is a geometry-optimized RbTaI2Br2Cl2 structure from the Open Quantum Materials Database. Energies are from PBE.

Output
The calculation puts the magnetic moment at 1.25 μB per formula unit. The calculation puts the raw total energy at -3.3917 eV/atom. As for the space-group type: C2/m.

a b c (Å): 15.566 15.566 3.894
angles (deg): 94.79 94.79 117.84
Sites, in units of the cell vectors:
Rb1 0.178 0.822 0.000
Rb2 0.822 0.178 0.000
Ta1 0.000 0.500 0.000
Ta2 0.500 0.000 0.000
I1 0.152 0.595 0.579
I2 0.405 0.848 0.421
I3 0.595 0.152 0.579
I4 0.848 0.405 0.421
Br1 0.041 0.357 0.950
Br2 0.357 0.041 0.950
Br3 0.643 0.959 0.050
Br4 0.959 0.643 0.050
Cl1 0.347 0.532 0.040
Cl2 0.468 0.653 0.960
Cl3 0.532 0.347 0.040
Cl4 0.653 0.468 0.960

=====

[4]
Here is a geometry-optimized TaI2Br2Cl structure from the Open Quantum Materials Database. Energies are from PBE.

Output
The calculation puts the magnetic moment at 0.01 μB per formula unit. The calculation puts the raw total energy at -4.1627 eV/atom. As for the space-group type: P-1.

a b c (Å): 7.050 7.627 10.507
angles (deg): 108.68 92.05 113.17
Sites, in units of the cell vectors:
Ta1 0.102 0.218 0.221
Ta2 0.898 0.782 0.779
I1 0.238 0.178 0.955
I2 0.441 0.573 0.330
I3 0.559 0.427 0.670
I4 0.762 0.822 0.045
Br1 0.065 0.817 0.583
Br2 0.114 0.625 0.847
Br3 0.886 0.375 0.153
Br4 0.935 0.183 0.417
Cl1 0.281 0.026 0.244
Cl2 0.719 0.974 0.756

=====

[5]
Here is a geometry-optimized TaInBr2Cl2O structure from the Open Quantum Materials Database. Energies are from PBE.

Output
The calculation puts the magnetic moment at 0.00 μB per formula unit. The calculation puts the raw total energy at -5.1847 eV/atom. As for the space-group type: C2.

a b c (Å): 7.265 7.265 7.642
angles (deg): 105.86 105.86 31.26
Sites, in units of the cell vectors:
Ta1 0.000 0.000 0.000
In1 0.487 0.513 0.500
Br1 0.110 0.166 0.304
Br2 0.834 0.890 0.696
Cl1 0.092 0.152 0.835
Cl2 0.848 0.908 0.165
O1 0.477 0.523 0.000

=====

[6]
Here is a geometry-optimized In2PdBr6Cl2 structure from the Open Quantum Materials Database. Energies are from PBE.

Output
The calculation puts the raw total energy at -2.9165 eV/atom. As for the space-group type: C2/m.

a b c (Å): 7.954 7.954 7.583
angles (deg): 94.21 94.21 64.35
Sites, in units of the cell vectors:
In1 0.214 0.214 0.336
In2 0.786 0.786 0.664
Pd1 0.000 0.000 0.000
Br1 0.101 0.683 0.859
Br2 0.317 0.899 0.141
Br3 0.394 0.394 0.297
Br4 0.606 0.606 0.703
Br5 0.683 0.101 0.859
Br6 0.899 0.317 0.141
Cl1 0.172 0.172 0.632
Cl2 0.828 0.828 0.368

=====

[7]
Here is a geometry-optimized In2PdBr2Cl2 structure from the Open Quantum Materials Database. Energies are from PBE.

Output
The calculation puts the raw total energy at -3.1339 eV/atom. As for the space-group type: Pmm2.

a b c (Å): 4.278 7.365 7.351
angles (deg): 90.00 90.00 90.00
Sites, in units of the cell vectors:
In1 0.000 0.000 0.000
In2 0.000 0.500 0.470
Pd1 0.500 0.000 0.483
Br1 0.500 0.236 0.719
Br2 0.500 0.764 0.719
Cl1 0.500 0.225 0.258
Cl2 0.500 0.775 0.258

=====

[8]
Here is a geometry-optimized In2PdBr3Cl structure from the Open Quantum Materials Database. Energies are from PBE.

Output
The calculation puts the raw total energy at -3.0670 eV/atom. As for the space-group type: Amm2.

a b c (Å): 4.333 7.446 7.446
angles (deg): 88.32 90.00 90.00
Sites, in units of the cell vectors:
In1 0.000 0.242 0.758
In2 0.000 0.758 0.242
Pd1 0.500 0.249 0.249
Br1 0.500 0.010 0.487
Br2 0.500 0.479 0.479
Br3 0.500 0.487 0.010
Cl1 0.500 0.029 0.029

=====

[9]
Here is a geometry-optimized Pr3InBrCl2 structure from the Open Quantum Materials Database. Energies are from PBE.

Output
The calculation puts the magnetic moment at 0.00 μB per formula unit. The calculation puts the raw total energy at -4.5524 eV/atom. As for the space-group type: P4/mmm.

a b c (Å): 6.102 6.102 6.024
angles (deg): 90.00 90.00 90.00
Sites, in units of the cell vectors:
Pr1 0.000 0.000 0.000
Pr2 0.000 0.500 0.500
Pr3 0.500 0.000 0.500
In1 0.000 0.000 0.500
Br1 0.500 0.500 0.500
Cl1 0.000 0.500 0.000
Cl2 0.500 0.000 0.000

=====

[10]
Here is a geometry-optimized In2PtBr6Cl2 structure from the Open Quantum Materials Database. Energies are from PBE.

Output
The calculation puts the magnetic moment at 0.01 μB per formula unit. The calculation puts the raw total energy at -2.9685 eV/atom. As for the space-group type: C2/m.

a b c (Å): 7.729 7.729 7.978
angles (deg): 94.48 94.48 65.76
Sites, in units of the cell vectors:
In1 0.223 0.223 0.327
In2 0.777 0.777 0.673
Pt1 0.000 0.000 0.000
Br1 0.100 0.683 0.857
Br2 0.187 0.187 0.629
Br3 0.317 0.900 0.143
Br4 0.683 0.100 0.857
Br5 0.813 0.813 0.371
Br6 0.900 0.317 0.143
Cl1 0.397 0.397 0.270
Cl2 0.603 0.603 0.730

=====

[11]
Here is a geometry-optimized IrBrCl4 structure from the Open Quantum Materials Database. Energies are from PBE.

Output
The calculation puts the magnetic moment at 1.00 μB per formula unit. The calculation puts the raw total energy at -3.2541 eV/atom. As for the space-group type: P-1.

a b c (Å): 6.228 6.504 8.765
angles (deg): 107.63 90.75 115.61
Sites, in units of the cell vectors:
Ir1 0.096 0.201 0.210
Ir2 0.904 0.799 0.790
Br1 0.062 0.801 0.540
Br2 0.938 0.199 0.460
Cl1 0.119 0.618 0.852
Cl2 0.234 0.183 0.949
Cl3 0.305 0.000 0.248
Cl4 0.421 0.568 0.337
Cl5 0.579 0.432 0.663
Cl6 0.695 0.000 0.752
Cl7 0.766 0.817 0.051
Cl8 0.881 0.382 0.148

=====

[12]
Here is a geometry-optimized Ir2Se2BrCl structure from the Open Quantum Materials Database. Energies are from PBE.

Output
The calculation puts the magnetic moment at 0.00 μB per formula unit. The calculation puts the raw total energy at -5.0145 eV/atom. As for the energy above the most stable polymorph in this dataset: 0.000 eV per atom. As for the space-group type: Pmm2.

a b c (Å): 3.701 4.927 8.319
angles (deg): 90.00 90.00 90.00
Sites, in units of the cell vectors:
Ir1 0.000 0.000 0.000
Ir2 0.500 0.500 0.264
Se1 0.000 0.500 0.069
Se2 0.500 0.000 0.193
Br1 0.000 0.500 0.477
Cl1 0.500 0.000 0.805

=====

[13]
Here is a geometry-optimized Ir2Se2BrCl structure from the Open Quantum Materials Database. Energies are from PBE.

Output
The calculation puts the magnetic moment at 0.00 μB per formula unit. The calculation puts the raw total energy at -4.7701 eV/atom. As for the energy above the most stable polymorph in this dataset: 0.244 eV per atom. As for the space-group type: Cm.

a b c (Å): 7.481 7.481 6.134
angles (deg): 104.57 104.57 30.67
Sites, in units of the cell vectors:
Ir1 0.000 0.000 0.000
Ir2 0.617 0.617 0.880
Se1 0.172 0.172 0.097
Se2 0.445 0.445 0.784
Br1 0.902 0.902 0.265
Cl1 0.712 0.712 0.633

=====

[14]
Here is a geometry-optimized KNbBr2Cl2O structure from the Open Quantum Materials Database. Energies are from PBE.

Output
The calculation puts the magnetic moment at 0.01 μB per formula unit. The calculation puts the raw total energy at -4.9174 eV/atom. As for the space-group type: C2.

a b c (Å): 7.312 7.312 7.447
angles (deg): 105.82 105.82 32.26
Sites, in units of the cell vectors:
K1 0.000 0.000 0.000
Nb1 0.564 0.436 0.500
Br1 0.354 0.369 0.191
Br2 0.631 0.646 0.809
Cl1 0.372 0.384 0.669
Cl2 0.616 0.628 0.331
O1 0.004 0.996 0.500

=====

[15]
Here is a geometry-optimized K2PdBr2Cl2 structure from the Open Quantum Materials Database. Energies are from PBE.

Output
The calculation puts the raw total energy at -3.3288 eV/atom. As for the space-group type: Cmmm.

a b c (Å): 7.283 7.283 4.266
angles (deg): 90.00 90.00 94.88
Sites, in units of the cell vectors:
K1 0.000 0.500 0.000
K2 0.500 0.000 0.000
Pd1 0.000 0.000 0.500
Br1 0.250 0.250 0.500
Br2 0.750 0.750 0.500
Cl1 0.218 0.782 0.500
Cl2 0.782 0.218 0.500

=====

[16]
Here is a geometry-optimized K2PdBr2Cl2 structure from the Open Quantum Materials Database. Energies are from PBE.

Output
The calculation puts the raw total energy at -3.3279 eV/atom. As for the space-group type: Pmm2.

a b c (Å): 4.265 7.299 7.303
angles (deg): 90.00 90.00 90.00
Sites, in units of the cell vectors:
K1 0.000 0.000 0.000
K2 0.000 0.500 0.456
Pd1 0.500 0.500 0.978
Br1 0.500 0.262 0.740
Br2 0.500 0.738 0.740
Cl1 0.500 0.272 0.206
Cl2 0.500 0.728 0.206

=====

[17]
Here is a geometry-optimized K2PtBrCl3 structure from the Open Quantum Materials Database. Energies are from PBE.

Output
The calculation puts the magnetic moment at 0.00 μB per formula unit. The calculation puts the raw total energy at -3.4906 eV/atom. As for the space-group type: Amm2.

a b c (Å): 4.239 7.171 7.171
angles (deg): 92.55 90.00 90.00
Sites, in units of the cell vectors:
K1 0.000 0.239 0.761
K2 0.000 0.761 0.239
Pt1 0.500 0.750 0.750
Br1 0.500 0.503 0.503
Cl1 0.500 0.524 0.975
Cl2 0.500 0.975 0.524
Cl3 0.500 0.986 0.986

=====

[18]
Here is a geometry-optimized K2PtBr3Cl structure from the Open Quantum Materials Database. Energies are from PBE.

Output
The calculation puts the magnetic moment at 0.00 μB per formula unit. The calculation puts the raw total energy at -3.3311 eV/atom. As for the space-group type: Amm2.

a b c (Å): 4.341 7.388 7.388
angles (deg): 87.81 90.00 90.00
Sites, in units of the cell vectors:
K1 0.000 0.239 0.761
K2 0.000 0.761 0.239
Pt1 0.500 0.751 0.751
Br1 0.500 0.510 0.991
Br2 0.500 0.520 0.520
Br3 0.500 0.991 0.510
Cl1 0.500 0.971 0.971

=====

[19]
Here is a geometry-optimized LaSmBrNCl2 structure from the Open Quantum Materials Database. Energies are from PBE.

Output
The calculation puts the magnetic moment at 0.00 μB per formula unit. The calculation puts the raw total energy at -5.9516 eV/atom. As for the space-group type: C2/m.

a b c (Å): 8.841 8.841 11.177
angles (deg): 120.02 120.02 26.48
Sites, in units of the cell vectors:
La1 0.135 0.135 0.294
La2 0.865 0.865 0.706
Sm1 0.416 0.416 0.041
Sm2 0.584 0.584 0.959
Br1 0.054 0.054 0.745
Br2 0.946 0.946 0.255
N1 0.428 0.428 0.845
N2 0.572 0.572 0.155
Cl1 0.212 0.212 0.110
Cl2 0.332 0.332 0.487
Cl3 0.668 0.668 0.513
Cl4 0.788 0.788 0.890

=====

[20]
Here is a geometry-optimized Lu2S2BrCl structure from the Open Quantum Materials Database. Energies are from PBE.

Output
The calculation puts the magnetic moment at 0.00 μB per formula unit. The calculation puts the raw total energy at -5.5573 eV/atom. As for the space-group type: Pmm2.

a b c (Å): 3.912 5.273 8.577
angles (deg): 90.00 90.00 90.00
Sites, in units of the cell vectors:
Lu1 0.000 0.000 0.000
Lu2 0.500 0.500 0.257
S1 0.000 0.500 0.042
S2 0.500 0.000 0.215
Br1 0.500 0.000 0.773
Cl1 0.000 0.500 0.460